1.
Compound: Pu2Al5Zn12
Source: Alexandria
Functional: GGA-PBE
Structure: relaxed

Cell: 6.878 6.878 6.878 Å, 82.66 82.66 82.66°
Element x y z (fractional)
Pu1 0.174 0.174 0.174
Pu2 0.826 0.826 0.826
Al1 0.000 0.500 0.500
Al2 0.401 0.401 0.401
Al3 0.500 0.000 0.500
Al4 0.500 0.500 0.000
Al5 0.599 0.599 0.599
Zn1 0.143 0.143 0.664
Zn2 0.143 0.664 0.143
Zn3 0.200 0.500 0.800
Zn4 0.200 0.800 0.500
Zn5 0.336 0.857 0.857
Zn6 0.500 0.200 0.800
Zn7 0.500 0.800 0.200
Zn8 0.664 0.143 0.143
Zn9 0.800 0.200 0.500
Zn10 0.800 0.500 0.200
Zn11 0.857 0.336 0.857
Zn12 0.857 0.857 0.336

Fermi-level density of states = 1.233 states/eV per atom
Formation enthalpy at 0 K = -0.14 eV/atom
Space-group type = R-3m
Magnetization = 11.1 μB per formula unit

2.
Compound: PuAl5Zn7
Source: Alexandria
Functional: GGA-PBE
Structure: relaxed

Cell: 6.857 6.857 6.857 Å, 132.45 98.56 100.15°
Element x y z (fractional)
Pu1 0.000 0.000 0.000
Al1 0.009 0.003 0.503
Al2 0.009 0.506 0.006
Al3 0.501 0.003 0.994
Al4 0.501 0.506 0.497
Al5 0.788 0.288 0.500
Zn1 0.215 0.715 0.500
Zn2 0.220 0.504 0.716
Zn3 0.357 0.357 0.000
Zn4 0.361 0.007 0.355
Zn5 0.651 0.651 0.000
Zn6 0.652 0.007 0.645
Zn7 0.787 0.504 0.284

Fermi-level density of states = 0.891 states/eV per atom
Formation enthalpy at 0 K = -0.09 eV/atom
Space-group type = Imm2
Magnetization = 5.5 μB per formula unit

3.
Compound: PuAl3Zn2
Source: Alexandria
Functional: GGA-PBE
Structure: relaxed

Cell: 8.141 8.141 6.787 Å, 109.51 109.51 31.50°
Element x y z (fractional)
Pu1 0.117 0.117 0.187
Pu2 0.883 0.883 0.813
Al1 0.069 0.069 0.688
Al2 0.303 0.303 0.073
Al3 0.369 0.369 0.492
Al4 0.631 0.631 0.508
Al5 0.697 0.697 0.927
Al6 0.931 0.931 0.312
Zn1 0.236 0.236 0.664
Zn2 0.478 0.478 0.166
Zn3 0.522 0.522 0.834
Zn4 0.764 0.764 0.336

Fermi-level density of states = 1.648 states/eV per atom
Formation enthalpy at 0 K = -0.15 eV/atom
Space-group type = C2/m
Magnetization = 5.7 μB per formula unit

4.
Compound: PuAl4Zn4
Source: Alexandria
Functional: GGA-PBE
Structure: relaxed

Cell: 6.319 6.319 6.319 Å, 98.29 98.29 135.35°
Element x y z (fractional)
Pu1 0.000 0.000 0.000
Al1 0.075 0.639 0.714
Al2 0.361 0.075 0.437
Al3 0.639 0.925 0.563
Al4 0.925 0.361 0.286
Zn1 0.281 0.382 0.663
Zn2 0.382 0.719 0.102
Zn3 0.618 0.281 0.898
Zn4 0.719 0.618 0.337

Fermi-level density of states = 1.538 states/eV per atom
Formation enthalpy at 0 K = 0.03 eV/atom
Space-group type = I4/m
Magnetization = 5.8 μB per formula unit